# 1
5
Lattice="8.593 -1.754 -0.005 8.593 1.754 -0.005 8.237 0.000 3.011" Properties=species:S:1:pos:R:3 comment="Sc2P3 (GGA-PBE, optimized geometry)" sg="R-3m (166)" ef_kj_per_mol_fu=-334 de_polymorph_ev_per_atom=0.220 pbc="T T T"
Sc 15.441 0.000 1.823
Sc 9.981 0.000 1.178
P 4.929 0.000 0.582
P 20.494 0.000 2.420
P 0.000 0.000 0.000

=====

# 2
5
Lattice="5.122 0.000 0.000 0.000 5.122 0.000 0.000 0.000 3.600" Properties=species:S:1:pos:R:3 comment="ZrHSeBr2 (GGA-PBE, optimized geometry)" sg="P4/mmm (123)" de_polymorph_ev_per_atom=0.539 pbc="T T T"
H 0.000 0.000 0.000
Br 0.000 2.561 0.000
Se 0.000 0.000 1.800
Br 2.561 0.000 0.000
Zr 2.561 2.561 1.800

=====

# 3
8
Lattice="4.885 0.000 0.000 -2.442 4.230 0.000 0.000 0.000 12.209" Properties=species:S:1:pos:R:3 comment="KZr2Pd (GGA-PBE, optimized geometry)" sg="P-3m1 (164)" ef_kj_per_mol_fu=-25 de_polymorph_ev_per_atom=0.100 pbc="T T T"
Zr 0.000 0.000 10.640
K 0.000 2.820 7.855
Zr 0.000 2.820 11.850
Zr 2.442 1.410 0.359
Pd 0.000 2.820 2.227
Pd 2.442 1.410 9.982
Zr 0.000 0.000 1.569
K 2.442 1.410 4.354

=====

# 4
5
Lattice="4.803 0.000 0.000 0.000 4.803 0.000 0.000 0.000 4.161" Properties=species:S:1:pos:R:3 comment="GaHgNF2 (GGA-PBE, optimized geometry)" sg="P4/mmm (123)" formation_energy_uncorrected_ev_per_atom=-0.080 de_polymorph_ev_per_atom=0.687 pbc="T T T"
N 0.000 0.000 2.081
Hg 0.000 0.000 0.000
F 0.000 2.402 0.000
Ga 2.402 2.402 2.081
F 2.402 0.000 0.000

=====

# 5
12
Lattice="9.131 0.000 0.000 0.000 3.295 0.000 0.000 0.000 11.536" Properties=species:S:1:pos:R:3 comment="RbCuMo (GGA-PBE, optimized geometry)" sg="Pnma (62)" ef_kj_per_mol_fu=246 de_polymorph_ev_per_atom=0.313 pbc="T T T"
Rb 3.929 2.471 3.781
Cu 7.069 0.824 4.705
Mo 5.294 0.824 0.415
Cu 6.627 2.471 10.473
Mo 8.403 2.471 6.184
Cu 2.504 0.824 1.063
Rb 0.637 0.824 9.549
Cu 2.062 2.471 6.831
Rb 5.202 0.824 7.756
Rb 8.494 2.471 1.988
Mo 0.729 0.824 5.353
Mo 3.837 2.471 11.121

=====

# 6
8
Lattice="-7.517 -1.888 -10.732 -5.959 -10.204 5.968 -8.568 -4.397 -1.390" Properties=species:S:1:pos:R:3 comment="Cs2TlPd (GGA-PBE, optimized geometry)" sg="I-42d (122)" ef_kj_per_mol_fu=-22 de_polymorph_ev_per_atom=0.043 pbc="T T T"
Tl -11.411 -6.165 -7.252
Pd -6.738 -6.046 -2.382
Cs -8.098 -8.037 0.196
Cs -12.504 -9.586 -1.803
Tl 0.000 0.000 0.000
Cs -6.293 -3.230 -4.464
Cs -17.193 -12.123 -6.237
Pd -10.632 -10.323 1.098